Record 1
VASP calculation (GGA-PBE) on a geometry-optimized BeCrPt2 structure.

The structure in POSCAR format:
```
BeCrPt2
1.0
1.361 0.786 8.352
-1.361 0.786 8.352
0.000 -1.572 8.352
Be Cr Pt
1 1 2
direct
0.000 0.000 0.000
0.744 0.744 0.744
0.263 0.263 0.263
0.494 0.494 0.494
```

Calculated values
Space group: R3m
Spin magnetization, μB/atom: 0.439
V, Å³/cell: 54
Theoretical density, g/cm³: 13.97
DFT total energy, eV for the cell shown: -25.9

Record 2
VASP calculation (GGA-PBE) on a geometry-optimized BeCrPt structure.

The structure in POSCAR format:
```
BeCrPt
1.0
2.699 0.000 0.000
0.000 3.742 0.000
-1.340 0.000 7.229
Be Cr Pt
2 2 2
direct
0.000 0.000 0.000
0.265 0.500 0.525
0.436 0.500 0.870
0.571 0.500 0.142
0.159 0.000 0.320
0.837 0.000 0.672
```

Calculated values
Energy above the most stable polymorph in this dataset, eV per atom: 0.137
Space group: Pm
Spin magnetization, μB/atom: 0.000
V, Å³/cell: 73
Theoretical density, g/cm³: 11.65
DFT total energy, eV for the cell shown: -40.2

Record 3
VASP calculation (GGA-PBE) on a geometry-optimized BeCrPt structure.

The structure in POSCAR format:
```
BeCrPt
1.0
6.583 -1.424 0.000
6.583 1.424 0.000
-0.446 0.000 3.869
Be Cr Pt
2 2 2
direct
0.000 0.000 0.000
0.664 0.664 0.836
0.333 0.333 0.882
0.833 0.833 0.303
0.171 0.171 0.332
0.494 0.494 0.505
```

Calculated values
Energy above the most stable polymorph in this dataset, eV per atom: 0.107
Space group: Cm
Spin magnetization, μB/atom: 0.000
V, Å³/cell: 73
Theoretical density, g/cm³: 11.73
DFT total energy, eV for the cell shown: -40.4

Record 4
VASP calculation (GGA-PBE) on a geometry-optimized BeCrPt structure.

The structure in POSCAR format:
```
BeCrPt
1.0
-2.280 2.846 2.833
2.280 -2.846 2.833
2.280 2.846 -2.833
Be Cr Pt
2 2 2
direct
0.000 0.000 0.000
0.000 0.500 0.500
0.194 0.102 0.592
0.511 0.602 0.408
0.495 0.917 0.078
0.839 0.417 0.922
```

Calculated values
Energy above the most stable polymorph in this dataset, eV per atom: 0.102
Space group: Ima2
Spin magnetization, μB/atom: 0.974
V, Å³/cell: 74
Theoretical density, g/cm³: 11.57
DFT total energy, eV for the cell shown: -40.4